Entry 1:
{"formula": "CaHoPd2", "functional": "PBE-GGA", "state": "relaxed", "cell": [[-0.5984, 3.9964, -0.2794], [-0.7017, 2.1813, 3.3402], [6.3588, 3.1273, 1.7495]], "species": ["Ca", "Pd", "Pd", "Ho"], "frac_coords": [[0.0000, 0.0000, 0.0000], [0.2440, 0.2440, 0.2680], [0.7560, 0.7560, 0.7320], [0.5000, 0.5000, 0.5000]], "n_ef_per_ev_atom": 0.46, "final_energy_ev_per_cell": -19.46, "spacegroup": "R-3m (166)", "polymorph_energy_mev_per_atom": 210, "formation_enthalpy_0k_ev_per_atom": -0.62}

Entry 2:
{"formula": "Ca2Ho2Pd15", "functional": "PBE-GGA", "state": "relaxed", "cell": [[7.1153, 0.0837, 0.0745], [1.0061, 7.0443, 0.0745], [1.0061, 0.8830, 6.9891]], "species": ["Pd", "Pd", "Ca", "Pd", "Pd", "Pd", "Pd", "Pd", "Ho", "Ca", "Pd", "Ho", "Pd", "Pd", "Pd", "Pd", "Pd", "Pd", "Pd"], "frac_coords": [[0.3499, 0.8433, 0.3499], [0.6987, 0.3013, 0.0000], [0.3632, 0.3632, 0.3632], [0.3013, 0.6987, 0.0000], [0.3499, 0.3499, 0.8433], [0.6987, 0.0000, 0.3013], [0.5000, 0.0000, 0.0000], [0.0000, 0.6987, 0.3013], [0.1102, 0.1102, 0.1102], [0.6368, 0.6368, 0.6368], [0.8433, 0.3499, 0.3499], [0.8898, 0.8898, 0.8898], [0.1567, 0.6501, 0.6501], [0.0000, 0.0000, 0.5000], [0.6501, 0.6501, 0.1567], [0.0000, 0.5000, 0.0000], [0.0000, 0.3013, 0.6987], [0.6501, 0.1567, 0.6501], [0.3013, 0.0000, 0.6987]], "n_ef_per_ev_atom": 0.86, "final_energy_ev_per_cell": -100.59, "spacegroup": "R-3m (166)", "formation_enthalpy_0k_ev_per_atom": -0.50}

Entry 3:
{"formula": "CaHoPd4", "functional": "PBE-GGA", "state": "relaxed", "cell": [[-4.1036, -2.8462, 2.1663], [0.8112, -2.9469, 4.5046], [-2.2124, 1.5748, 4.7179]], "species": ["Ho", "Pd", "Pd", "Ca", "Pd", "Pd"], "frac_coords": [[0.0000, 0.0000, 0.0000], [0.6250, 0.6250, 0.6250], [0.1249, 0.6250, 0.6250], [0.2500, 0.2500, 0.2500], [0.6250, 0.1249, 0.6250], [0.6250, 0.6250, 0.1249]], "n_ef_per_ev_atom": 0.93, "final_energy_ev_per_cell": -31.79, "spacegroup": "F-43m (216)", "polymorph_energy_mev_per_atom": 0, "formation_enthalpy_0k_ev_per_atom": -0.74}

Entry 4:
{"formula": "CaHoPd4", "functional": "PBE-GGA", "state": "relaxed", "cell": [[3.5832, 0.0000, 1.0364], [1.9817, 4.8201, -0.1392], [-0.0567, -1.5054, 6.9085]], "species": ["Ho", "Pd", "Pd", "Pd", "Pd", "Ca"], "frac_coords": [[0.5000, 0.5000, 0.5000], [0.3192, 0.0135, 0.3482], [0.6808, 0.9865, 0.6518], [0.8514, 0.4770, 0.8202], [0.1486, 0.5230, 0.1798], [0.0000, 0.0000, 0.0000]], "n_ef_per_ev_atom": 0.56, "final_energy_ev_per_cell": -31.10, "spacegroup": "C2/m (12)", "polymorph_energy_mev_per_atom": 116, "formation_enthalpy_0k_ev_per_atom": -0.62}

Entry 5:
{"formula": "CaHo2Pd", "functional": "PBE-GGA", "state": "relaxed", "cell": [[4.0176, 0.0000, 0.0000], [2.0088, 3.4794, 0.0000], [2.0088, 1.1598, 9.3802]], "species": ["Ho", "Pd", "Ho", "Ca"], "frac_coords": [[0.2783, 0.2783, 0.1650], [0.0000, 0.0000, 0.0000], [0.7217, 0.7217, 0.8350], [0.5000, 0.5000, 0.5000]], "n_ef_per_ev_atom": 0.92, "final_energy_ev_per_cell": -17.59, "spacegroup": "R-3m (166)", "polymorph_energy_mev_per_atom": 64, "formation_enthalpy_0k_ev_per_atom": -0.31}

Entry 6:
{"formula": "CaHoPd2", "functional": "PBE-GGA", "state": "relaxed", "cell": [[-0.2165, 1.8028, 2.9834], [2.1212, -2.3038, 1.5461], [5.6492, 3.8964, -1.9445]], "species": ["Ca", "Pd", "Ho", "Pd"], "frac_coords": [[0.5000, 0.5000, 0.5000], [0.0000, 0.0000, 0.2265], [0.5000, 0.5000, 0.0000], [0.0000, 0.0000, 0.7735]], "n_ef_per_ev_atom": 0.24, "final_energy_ev_per_cell": -20.31, "spacegroup": "P4/mmm (123)", "polymorph_energy_mev_per_atom": 0, "formation_enthalpy_0k_ev_per_atom": -0.84}

Please write out number 1 again, unchanged.
{"formula": "CaHoPd2", "functional": "PBE-GGA", "state": "relaxed", "cell": [[-0.5984, 3.9964, -0.2794], [-0.7017, 2.1813, 3.3402], [6.3588, 3.1273, 1.7495]], "species": ["Ca", "Pd", "Pd", "Ho"], "frac_coords": [[0.0000, 0.0000, 0.0000], [0.2440, 0.2440, 0.2680], [0.7560, 0.7560, 0.7320], [0.5000, 0.5000, 0.5000]], "n_ef_per_ev_atom": 0.46, "final_energy_ev_per_cell": -19.46, "spacegroup": "R-3m (166)", "polymorph_energy_mev_per_atom": 210, "formation_enthalpy_0k_ev_per_atom": -0.62}